The following is a GGA-PBE calculation of an optimized crystal structure of Rb3Ac3CeSe8, from Alexandria via LeMat-Bulk.

Energy in eV for the cell shown: -75.50
Spin magnetization in Bohr magnetons per cell: 0.000
Formation energy from raw total energies in eV/f.u.: -26.5
SG: R-3m (166)

abc: 9.077 9.078 9.659
angles: 118.06 90.00 120.00
Fractional coordinates of all 15 atoms:
Rb1 0.000 0.000 0.000
Rb2 0.000 0.500 0.000
Rb3 0.500 0.500 0.000
Ac1 0.500 0.000 0.500
Ac2 0.500 0.500 0.500
Ac3 0.000 0.500 0.500
Ce1 0.000 0.000 0.500
Se1 0.264 0.528 0.292
Se2 0.736 0.472 0.708
Se3 0.780 0.560 0.307
Se4 0.220 0.440 0.693
Se5 0.780 0.027 0.307
Se6 0.220 0.973 0.693
Se7 0.247 0.027 0.307
Se8 0.753 0.973 0.693